1.
{
  "formula": "MnBeNi2",
  "functional": "PBE",
  "state": "relaxed",
  "cell": [[-1.638, 0.093, -2.983], [2.910, -0.704, -1.620], [-0.916, -8.124, -1.692]],
  "species": ["Ni", "Ni", "Ni", "Ni", "Mn", "Mn", "Be", "Be"],
  "fractional_positions": [[0.603, 0.125, 0.250], [0.147, 0.625, 0.250], [0.375, 0.397, 0.750], [0.875, 0.853, 0.750], [0.000, 0.000, 0.000], [0.750, 0.250, 0.500], [0.500, 0.500, 0.000], [0.250, 0.750, 0.500]],
  "formation_enthalpy_0k_ev_per_atom": 0.285,
  "space_group": "I-42d"
}

2.
{
  "formula": "MnBe2Ni",
  "functional": "PBE",
  "state": "relaxed",
  "cell": [[-4.228, -0.379, 0.739], [1.512, -3.168, -2.499], [-0.012, -1.766, 1.501]],
  "species": ["Ni", "Mn", "Be", "Be"],
  "fractional_positions": [[0.000, 0.500, 0.500], [0.500, 0.000, 0.500], [0.000, 0.000, 0.000], [0.500, 0.500, 0.000]],
  "formation_enthalpy_0k_ev_per_atom": -0.091,
  "space_group": "C2/m"
}

3.
{
  "formula": "Mn2BeNi",
  "functional": "PBE",
  "state": "relaxed",
  "cell": [[-3.127, -1.194, -2.169], [2.364, -0.401, -3.187], [0.532, -2.736, 0.739]],
  "species": ["Ni", "Mn", "Mn", "Be"],
  "fractional_positions": [[0.500, 0.000, 0.500], [0.000, 0.000, 0.000], [0.500, 0.500, 0.000], [0.000, 0.500, 0.500]],
  "formation_enthalpy_0k_ev_per_atom": 0.003,
  "space_group": "P4/mmm"
}

4.
{
  "formula": "MnBe2Ni",
  "functional": "PBE",
  "state": "relaxed",
  "cell": [[2.327, 0.000, 0.000], [0.000, 4.419, 0.001], [0.000, 2.657, 3.694]],
  "species": ["Ni", "Mn", "Be", "Be"],
  "fractional_positions": [[0.000, 0.000, 0.500], [0.500, 0.500, 0.500], [0.000, 0.000, 0.000], [0.500, 0.500, 0.000]],
  "formation_enthalpy_0k_ev_per_atom": -0.055,
  "space_group": "P2/m"
}

5.
{
  "formula": "Mn2BeNi",
  "functional": "PBE",
  "state": "relaxed",
  "cell": [[-0.859, 1.844, -1.291], [-1.159, -2.043, -0.537], [-5.119, 1.460, 5.491]],
  "species": ["Ni", "Mn", "Mn", "Be"],
  "fractional_positions": [[0.000, 0.000, 0.518], [0.000, 0.000, 0.988], [0.500, 0.500, 0.248], [0.500, 0.500, 0.745]],
  "formation_enthalpy_0k_ev_per_atom": 0.010,
  "space_group": "Cmm2"
}

6.
{
  "formula": "MnBe2Ni2",
  "functional": "PBE",
  "state": "relaxed",
  "cell": [[6.189, 0.000, 0.000], [0.000, 6.189, 0.000], [0.000, 0.000, 2.461]],
  "species": ["Ni", "Ni", "Ni", "Ni", "Mn", "Mn", "Be", "Be", "Be", "Be"],
  "fractional_positions": [[0.169, 0.669, 0.500], [0.669, 0.831, 0.500], [0.831, 0.331, 0.500], [0.331, 0.169, 0.500], [0.000, 0.000, 0.000], [0.500, 0.500, 0.000], [0.372, 0.872, 0.000], [0.872, 0.628, 0.000], [0.628, 0.128, 0.000], [0.128, 0.372, 0.000]],
  "relative_energy_ev_per_fu": 0.000,
  "formation_enthalpy_0k_ev_per_atom": -0.171,
  "space_group": "P4/mbm"
}

Number 1: total magnetic moment 3.50 μB per formula unit. Number 2: total magnetic moment 0.34 μB per formula unit. Number 3: total magnetic moment 7.04 μB per formula unit. Number 4: total magnetic moment 0.25 μB per formula unit. Number 5: total magnetic moment 0.61 μB per formula unit. Number 6: total magnetic moment 0.00 μB per formula unit.